Density functional theory data (GGA-PBE) for a relaxed structure of KH6N2F.

## Properties
**Spin magnetization**: 0.00 μB per atom
**Total energy**: -4.76 eV/atom
**SG**: Cmcm (63)
**D(E_F)**: 0.0000 states/eV per atom

The structure in POSCAR format:
```
KH6N2F
1.0
0.6315 6.3218 -1.1752
0.3375 -1.6139 6.2472
4.8389 -0.5576 -0.4045
H N F K
12 4 2 2
direct
0.5441 0.7782 0.0824 H
0.2218 0.4559 0.4176 H
0.6257 0.0238 0.2501 H
0.4564 0.2216 0.5814 H
0.7784 0.5436 0.9186 H
0.7782 0.5441 0.5824 H
0.4559 0.2218 0.9176 H
0.2216 0.4564 0.0814 H
0.3743 0.9762 0.7499 H
0.9762 0.3743 0.2499 H
0.5436 0.7784 0.4186 H
0.0238 0.6257 0.7501 H
0.1333 0.3664 0.2495 N
0.8667 0.6336 0.7505 N
0.6336 0.8667 0.2505 N
0.3664 0.1333 0.7495 N
0.6726 0.3274 0.2500 F
0.3274 0.6726 0.7500 F
0.1147 0.8853 0.2500 K
0.8853 0.1147 0.7500 K
```

=====

Density functional theory data (GGA-PBE) for a relaxed structure of KHNF2.

## Properties
**Spin magnetization**: 0.97 μB per atom
**Total energy**: -2.73 eV/atom
**SG**: P4/mmm (123)
**D(E_F)**: 2.0952 states/eV per atom

The structure in POSCAR format:
```
KHNF2
1.0
5.0970 0.0000 0.0000
0.0000 5.0970 0.0000
0.0000 0.0000 5.9795
K H F N
1 1 2 1
direct
0.0000 0.0000 0.0000 K
0.5000 0.5000 0.5000 H
0.5000 0.0000 0.0000 F
0.0000 0.5000 0.0000 F
0.0000 0.0000 0.5000 N
```

=====

Density functional theory data (GGA-PBE) for a relaxed structure of KHN2F.

## Properties
**Spin magnetization**: 1.40 μB per atom
**Total energy**: -2.97 eV/atom
**SG**: P4/mmm (123)
**D(E_F)**: 0.0004 states/eV per atom

The structure in POSCAR format:
```
KHN2F
1.0
-2.9385 -4.2259 -3.2624
-2.4319 -2.2556 5.1122
-3.7286 2.9554 -0.4697
F K N H
1 1 2 1
direct
0.0000 0.0000 0.5000 F
0.0000 0.0000 0.0000 K
0.0000 0.5000 0.0000 N
0.5000 0.0000 0.0000 N
0.5000 0.5000 0.5000 H
```

=====

Density functional theory data (GGA-PBE) for a relaxed structure of KHNF2.

## Properties
**Spin magnetization**: 0.32 μB per atom
**Total energy**: -3.58 eV/atom
**SG**: P4/mmm (123)
**D(E_F)**: 0.8477 states/eV per atom

The structure in POSCAR format:
```
KHNF2
1.0
4.5572 0.0000 0.0000
0.0000 4.5572 0.0000
0.0000 0.0000 2.7433
F N K H
2 1 1 1
direct
0.5000 0.0000 0.0000 F
0.0000 0.5000 0.0000 F
0.0000 0.0000 0.5000 N
0.5000 0.5000 0.5000 K
0.0000 0.0000 0.0000 H
```